A relaxed TiCrSe3 crystal. Source: Alexandria, functional GGA-PBEsol.

Calculated volume ... 105 Å³/f.u.
Size of the total moment ... 4.22 Bohr magnetons per cell
ΔE_f (raw) ... 0.126 eV/atom

Lattice parameters (Å, degrees): 4.714 4.714 4.714 90.00 90.00 90.00
Space group Pm-3m (No. 221)
Inequivalent atoms, fractional coordinates:
Ti: 0.000 0.000 0.000 [1 per cell]
Cr: 0.500 0.500 0.500 [1 per cell]
Se: 0.000 0.500 0.500 [3 per cell]